Zr3Cl | GGA-PBEsol | optimized geometry Values from VASP.

```
&SYSTEM
  ibrav = 0, nat = 4, ntyp = 2
/
ATOMIC_SPECIES
Zr 91.22 Zr.upf
Cl 35.45 Cl.upf
ATOMIC_POSITIONS crystal
Zr 0.500 0.410 0.590
Zr 0.695 0.661 0.949
Zr 0.305 0.051 0.339
Cl 0.000 0.045 0.955
CELL_PARAMETERS angstrom
-0.561 1.367 -2.828
2.288 -3.243 -3.822
-3.247 -3.444 -2.822
```

## Properties
Crystal system: orthorhombic
M_tot in Bohr magnetons per cell: 0.00

---

Re2Mo | GGA-PBEsol | optimized geometry Values from VASP.

```
&SYSTEM
  ibrav = 0, nat = 3, ntyp = 2
/
ATOMIC_SPECIES
Mo 95.94 Mo.upf
Re 186.21 Re.upf
ATOMIC_POSITIONS crystal
Mo 0.000 0.000 0.000
Re 0.000 0.500 0.500
Re 0.500 0.000 0.500
CELL_PARAMETERS angstrom
3.666 0.000 0.000
0.000 3.666 0.000
0.000 0.000 3.881
```

## Properties
Crystal system: tetragonal
E above lowest polymorph in eV/f.u.: 2.846
M_tot in Bohr magnetons per cell: 0.00
Formation energy in eV/atom: 1.07

---

SrScIn2 | GGA-PBEsol | optimized geometry Values from VASP.

```
&SYSTEM
  ibrav = 0, nat = 4, ntyp = 3
/
ATOMIC_SPECIES
Sc 44.96 Sc.upf
Sr 87.62 Sr.upf
In 114.82 In.upf
ATOMIC_POSITIONS crystal
Sc 0.500 0.500 0.000
Sr 0.500 0.500 0.500
In 0.000 0.000 0.791
In 0.000 0.000 0.209
CELL_PARAMETERS angstrom
-0.452 2.549 2.673
-3.676 -0.052 -0.572
-0.720 -5.506 5.129
```

## Properties
Crystal system: tetragonal
M_tot in Bohr magnetons per cell: 0.00
Formation energy in eV/atom: -0.45

---

ScOs | GGA-PBEsol | optimized geometry Values from VASP.

```
&SYSTEM
  ibrav = 0, nat = 2, ntyp = 2
/
ATOMIC_SPECIES
Os 190.23 Os.upf
Sc 44.96 Sc.upf
ATOMIC_POSITIONS crystal
Os 0.000 0.000 0.500
Sc 0.500 0.500 0.000
CELL_PARAMETERS angstrom
-1.886 -1.914 -0.950
-0.106 0.364 2.825
-2.895 3.107 -0.509
```

## Properties
Crystal system: orthorhombic
M_tot in Bohr magnetons per cell: 0.00
Formation energy in eV/atom: -0.12

---

Zr4Al3C6 | GGA-PBEsol | optimized geometry Values from VASP.

```
&SYSTEM
  ibrav = 0, nat = 26, ntyp = 3
/
ATOMIC_SPECIES
Al 26.98 Al.upf
C 12.01 C.upf
Zr 91.22 Zr.upf
ATOMIC_POSITIONS crystal
Al 0.333 0.667 0.811
Al 0.667 0.333 0.311
Al 0.667 0.333 0.189
Al 0.333 0.667 0.689
Al 0.667 0.333 0.750
Al 0.333 0.667 0.250
C 0.000 0.000 0.000
C 0.000 0.000 0.500
C 0.333 0.667 0.917
C 0.667 0.333 0.417
C 0.667 0.333 0.083
C 0.333 0.667 0.583
C 0.667 0.333 0.832
C 0.333 0.667 0.332
C 0.333 0.667 0.168
C 0.667 0.333 0.668
C 0.333 0.667 0.750
C 0.667 0.333 0.250
Zr 0.667 0.333 0.960
Zr 0.333 0.667 0.460
Zr 0.333 0.667 0.040
Zr 0.667 0.333 0.540
Zr 0.000 0.000 0.880
Zr 0.000 0.000 0.380
Zr 0.000 0.000 0.120
Zr 0.000 0.000 0.620
CELL_PARAMETERS angstrom
3.332 0.000 0.000
-1.666 2.886 0.000
0.000 0.000 32.822
```

## Properties
Crystal system: hexagonal
M_tot in Bohr magnetons per cell: 0.00
Formation energy in eV/atom: -0.64

---

TlPAu | GGA-PBEsol | optimized geometry Values from VASP.

```
&SYSTEM
  ibrav = 0, nat = 3, ntyp = 3
/
ATOMIC_SPECIES
Au 196.97 Au.upf
P 30.97 P.upf
Tl 204.38 Tl.upf
ATOMIC_POSITIONS crystal
Au 0.500 0.500 0.500
P 0.750 0.750 0.750
Tl 0.000 0.000 0.000
CELL_PARAMETERS angstrom
-3.721 0.687 2.457
-0.384 -1.875 4.085
0.181 2.583 3.694
```

## Properties
Crystal system: cubic
M_tot in Bohr magnetons per cell: 0.00
Formation energy in eV/atom: 0.37

---

Li2Mn3CuO8 | GGA-PBEsol | optimized geometry Values from VASP.

```
&SYSTEM
  ibrav = 0, nat = 56, ntyp = 4
/
ATOMIC_SPECIES
Li 6.94 Li.upf
Mn 54.94 Mn.upf
Cu 63.55 Cu.upf
O 16.00 O.upf
ATOMIC_POSITIONS crystal
Li 0.996 0.996 0.004
Li 0.754 0.754 0.246
Li 0.246 0.254 0.254
Li 0.004 0.496 0.496
Li 0.504 0.004 0.504
Li 0.746 0.246 0.746
Li 0.254 0.746 0.754
Li 0.496 0.504 0.996
Mn 0.870 0.375 0.120
Mn 0.620 0.130 0.125
Mn 0.375 0.880 0.130
Mn 0.625 0.380 0.370
Mn 0.380 0.630 0.375
Mn 0.130 0.875 0.380
Mn 0.630 0.625 0.620
Mn 0.880 0.870 0.625
Mn 0.125 0.120 0.630
Mn 0.875 0.620 0.870
Mn 0.120 0.370 0.875
Mn 0.370 0.125 0.880
Cu 0.125 0.625 0.125
Cu 0.875 0.125 0.375
Cu 0.375 0.375 0.625
Cu 0.625 0.875 0.875
O 0.874 0.607 0.100
O 0.100 0.374 0.107
O 0.384 0.116 0.116
O 0.850 0.143 0.125
O 0.607 0.900 0.127
O 0.634 0.366 0.134
O 0.376 0.650 0.143
O 0.143 0.876 0.150
O 0.857 0.376 0.350
O 0.624 0.150 0.357
O 0.366 0.866 0.366
O 0.393 0.400 0.374
O 0.150 0.643 0.376
O 0.616 0.616 0.384
O 0.900 0.874 0.393
O 0.127 0.107 0.400
O 0.626 0.393 0.600
O 0.400 0.626 0.607
O 0.116 0.884 0.616
O 0.650 0.857 0.623
O 0.893 0.100 0.625
O 0.866 0.634 0.634
O 0.125 0.350 0.643
O 0.357 0.124 0.650
O 0.643 0.625 0.850
O 0.876 0.850 0.857
O 0.134 0.134 0.866
O 0.107 0.600 0.874
O 0.350 0.357 0.876
O 0.884 0.384 0.884
O 0.600 0.125 0.893
O 0.374 0.893 0.900
CELL_PARAMETERS angstrom
-2.213 -7.164 3.171
-2.188 -2.598 -7.397
7.523 -2.864 -1.219
```

## Properties
Crystal system: monoclinic
E above lowest polymorph in eV/f.u.: 0.208
M_tot in Bohr magnetons per cell: 40.30

---

KRu4O8 | GGA-PBEsol | optimized geometry Values from VASP.

```
&SYSTEM
  ibrav = 0, nat = 13, ntyp = 3
/
ATOMIC_SPECIES
K 39.10 K.upf
Ru 101.07 Ru.upf
O 16.00 O.upf
ATOMIC_POSITIONS crystal
K 0.500 0.000 0.000
Ru 0.648 0.520 0.184
Ru 0.352 0.480 0.816
Ru 0.168 0.184 0.480
Ru 0.832 0.816 0.520
O 0.843 0.609 0.704
O 0.453 0.704 0.391
O 0.547 0.296 0.609
O 0.157 0.391 0.296
O 0.801 0.051 0.347
O 0.199 0.949 0.653
O 0.148 0.653 0.051
O 0.852 0.347 0.949
CELL_PARAMETERS angstrom
3.142 0.000 0.000
1.571 6.902 0.000
1.571 0.000 6.902
```

## Properties
Crystal system: tetragonal
M_tot in Bohr magnetons per cell: 0.00

---

The following calculated density values (in g/cm³) correspond, in order, to the records above: 6.408, 14.912, 5.747, 12.216, 5.449, 11.059, 4.558, 6.339.
The following raw total energy values (in eV/atom) correspond, in order, to the records above: -7.597, -11.738, -4.054, -9.535, -8.837, -3.742, -7.328, -7.562.